CsLi2CuGe PBE optimized geometry; total energy = -1.466 eV/atom; space-group type = P4/mmm
1.0
-2.5344 -2.4870 3.7845
0.3116 -4.5472 -2.7796
4.5184 -1.0987 2.3039
Cs Ge Cu Li
1 1 1 2
Direct
0.0000 0.0000 0.0000
0.5000 0.5000 0.5000
0.0000 0.5000 0.0000
0.0000 0.0000 0.5000
0.5000 0.0000 0.0000


CsMgCuGe2 PBE optimized geometry; total energy = -2.838 eV/atom; space-group type = P4/mmm
1.0
4.9568 0.0000 0.0000
0.0000 5.2039 0.0000
0.0000 0.0000 4.9568
Cs Ge Mg Cu
1 2 1 1
Direct
0.5000 0.5000 0.5000
0.0000 0.0000 0.5000
0.5000 0.0000 0.0000
0.0000 0.5000 0.0000
0.0000 0.0000 0.0000


CsNa2CuGe PBE optimized geometry; total energy = -2.368 eV/atom; energy above the lowest structure with this stoichiometry = 23.2 meV per atom; space-group type = P4/mmm
1.0
-5.2130 -0.6841 -2.3751
0.8665 -5.6978 -0.2607
-1.8509 -0.4736 4.1988
Cs Na Ge Cu
1 2 1 1
Direct
0.5000 0.5000 0.5000
0.0000 0.5000 0.0000
0.5000 0.0000 0.0000
0.0000 0.0000 0.5000
0.0000 0.0000 0.0000


CsNa2CuGe PBE optimized geometry; total energy = -2.391 eV/atom; energy above the lowest structure with this stoichiometry = 0.0 meV per atom; space-group type = P4/mmm
1.0
5.8079 0.0000 0.0000
0.0000 5.8079 0.0000
0.0000 0.0000 4.7275
Cs Na Ge Cu
1 2 1 1
Direct
0.5000 0.5000 0.5000
0.0000 0.5000 0.0000
0.5000 0.0000 0.0000
0.0000 0.0000 0.0000
0.0000 0.0000 0.5000


Energy of formation per entry: 1.21; 0.32; 0.07; 0.05 eV per atom